The following is a DFT calculation (PBE-GGA) of an optimized crystal structure of SmYEr3Tm.

abc: 9.6339 9.6339 7.2894
angles: 90.35 90.35 34.45
With the nearest neighbours (Å) after each atom.
Fractional coordinates of all 12 atoms:
Sm 0.0387 0.0387 0.2525  3 Er 3.07-3.25
Sm 0.9613 0.9613 0.7475  3 Er 3.07-3.25
Y 0.3520 0.3520 0.9631  1 Tm 3.07, 2 Er 3.13-3.28
Y 0.6480 0.6480 0.0369  1 Tm 3.07, 2 Er 3.13-3.28
Er 0.1708 0.1708 0.7448  6 Er 3.54-3.94, 3 Tm 3.56-3.64, 3 Y 3.59-3.68, 1 Sm 3.86
Er 0.2155 0.2155 0.2514  1 Sm 3.25, 3 Tm 3.26-3.45, 3 Y 3.28-3.48, 2 Er 3.54
Er 0.4772 0.4772 0.2566  2 Sm 3.07, 1 Tm 3.13, 1 Y 3.13
Er 0.5228 0.5228 0.7434  2 Sm 3.07, 1 Tm 3.13, 1 Y 3.13
Er 0.7845 0.7845 0.7486  1 Sm 3.25, 3 Tm 3.26-3.45, 3 Y 3.28-3.48, 2 Er 3.54
Er 0.8292 0.8292 0.2552  6 Er 3.54-3.94, 3 Tm 3.56-3.64, 3 Y 3.59-3.68, 1 Sm 3.86
Tm 0.3509 0.3509 0.5416  1 Y 3.07, 2 Er 3.13-3.26
Tm 0.6491 0.6491 0.4584  1 Y 3.07, 2 Er 3.13-3.26

Values from the calculation:
* M_tot: 0.00 μB/f.u.
* space-group type: C2/m
* uncorrected energy: -0.1722 hartree per atom
* calculated volume: 383 Å³/cell

***

The following is a DFT calculation (PBE-GGA) of an optimized crystal structure of SmY6Er2Tm.

abc: 8.7693 8.7693 9.5407
angles: 93.81 93.81 117.36
With the nearest neighbours (Å) after each atom.
Fractional coordinates of all 20 atoms:
Sm 0.0255 0.9745 0.7500  4 Er 3.38-3.43, 4 Y 3.55-3.65
Sm 0.9745 0.0255 0.2500  4 Er 3.38-3.43, 4 Y 3.55-3.65
Y 0.0135 0.5656 0.6838  3 Y 3.24-3.58, 2 Er 3.39-3.60, 1 Tm 3.44, 1 Sm 3.55
Y 0.1224 0.7542 0.0565  7 Y 3.41-3.72, 1 Er 3.48, 1 Sm 3.65
Y 0.2458 0.8776 0.4435  7 Y 3.41-3.72, 1 Er 3.48, 1 Sm 3.65
Y 0.2927 0.5086 0.8836  4 Y 3.24-3.52, 3 Er 3.26-3.42, 2 Tm 3.40-3.51
Y 0.4344 0.9865 0.8162  3 Y 3.24-3.58, 2 Er 3.39-3.60, 1 Tm 3.44, 1 Sm 3.55
Y 0.4914 0.7073 0.6164  4 Y 3.24-3.52, 3 Er 3.26-3.42, 2 Tm 3.40-3.51
Y 0.5086 0.2927 0.3836  4 Y 3.24-3.52, 3 Er 3.26-3.42, 2 Tm 3.40-3.51
Y 0.5656 0.0135 0.1838  3 Y 3.24-3.58, 2 Er 3.39-3.60, 1 Tm 3.44, 1 Sm 3.55
Y 0.7073 0.4914 0.1164  4 Y 3.24-3.52, 3 Er 3.26-3.42, 2 Tm 3.40-3.51
Y 0.7542 0.1224 0.5565  7 Y 3.41-3.72, 1 Er 3.48, 1 Sm 3.65
Y 0.8776 0.2458 0.9435  7 Y 3.41-3.72, 1 Er 3.48, 1 Sm 3.65
Y 0.9865 0.4344 0.3162  3 Y 3.24-3.58, 2 Er 3.39-3.60, 1 Tm 3.44, 1 Sm 3.55
Er 0.1990 0.3026 0.5478  6 Y 3.26-3.60, 2 Sm 3.38-3.43, 1 Tm 3.50
Er 0.3026 0.1990 0.0478  6 Y 3.26-3.60, 2 Sm 3.38-3.43, 1 Tm 3.50
Er 0.6974 0.8010 0.9522  6 Y 3.26-3.60, 2 Sm 3.38-3.43, 1 Tm 3.50
Er 0.8010 0.6974 0.4522  6 Y 3.26-3.60, 2 Sm 3.38-3.43, 1 Tm 3.50
Tm 0.4100 0.5900 0.2500  6 Y 3.40-3.51, 2 Er 3.50
Tm 0.5900 0.4100 0.7500  6 Y 3.40-3.51, 2 Er 3.50

Values from the calculation:
* M_tot: 0.00 μB/f.u.
* space-group type: C2/c
* uncorrected energy: -0.2054 hartree per atom
* calculated volume: 646 Å³/cell

***

The following is a DFT calculation (PBE-GGA) of an optimized crystal structure of Sm6Y3ErTm2.

abc: 6.2122 6.2122 11.7832
angles: 95.04 95.04 120.00
With the nearest neighbours (Å) after each atom.
Fractional coordinates of all 12 atoms:
Sm 0.0837 0.4172 0.7524  2 Tm 3.54, 1 Er 3.54, 3 Y 3.59, 6 Sm 3.59
Sm 0.2493 0.2493 0.2476  1 Er 3.54, 2 Tm 3.54, 6 Sm 3.59, 3 Y 3.59
Sm 0.4172 0.0837 0.7524  2 Tm 3.54, 1 Er 3.54, 3 Y 3.59, 6 Sm 3.59
Sm 0.5828 0.9163 0.2476  2 Tm 3.54, 1 Er 3.54, 3 Y 3.59, 6 Sm 3.59
Sm 0.7507 0.7507 0.7524  1 Er 3.54, 2 Tm 3.54, 6 Sm 3.59, 3 Y 3.59
Sm 0.9163 0.5828 0.2476  2 Tm 3.54, 1 Er 3.54, 3 Y 3.59, 6 Sm 3.59
Y 0.0000 0.0000 0.5000  6 Y 3.59, 6 Sm 3.59
Y 0.3333 0.6667 0.5000  6 Sm 3.59, 6 Y 3.59
Y 0.6667 0.3333 0.5000  6 Sm 3.59, 6 Y 3.59
Er 0.5000 0.5000 0.0000  6 Sm 3.54, 6 Tm 3.59
Tm 0.1667 0.8333 0.0000  6 Sm 3.54, 3 Er 3.59, 3 Tm 3.59
Tm 0.8333 0.1667 0.0000  6 Sm 3.54, 3 Er 3.59, 3 Tm 3.59

Values from the calculation:
* M_tot: 0.00 μB/f.u.
* space-group type: C2/m
* uncorrected energy: -0.1869 hartree per atom
* calculated volume: 388 Å³/cell